{"formula": "Zr2Ga5NiRu2", "functional": "PBE", "state": "relaxed", "cell": [[10.2969, 0.0000, 0.0000], [0.0000, 10.2969, 0.0000], [0.0000, 0.0000, 3.0685]], "species": ["Zr", "Zr", "Zr", "Zr", "Ga", "Ga", "Ga", "Ga", "Ga", "Ga", "Ga", "Ga", "Ga", "Ga", "Ni", "Ni", "Ru", "Ru", "Ru", "Ru"], "fractional_positions": [[0.1782, 0.3218, 0.0000], [0.3218, 0.8218, 0.0000], [0.6782, 0.1782, 0.0000], [0.8218, 0.6782, 0.0000], [0.0000, 0.5000, 0.5000], [0.0538, 0.8146, 0.5000], [0.1854, 0.0538, 0.5000], [0.3146, 0.5538, 0.5000], [0.4462, 0.3146, 0.5000], [0.5000, 0.0000, 0.5000], [0.5538, 0.6854, 0.5000], [0.6854, 0.4462, 0.5000], [0.8146, 0.9462, 0.5000], [0.9462, 0.1854, 0.5000], [0.0000, 0.0000, 0.0000], [0.5000, 0.5000, 0.0000], [0.1343, 0.6343, 0.0000], [0.3657, 0.1343, 0.0000], [0.6343, 0.8657, 0.0000], [0.8657, 0.3657, 0.0000]], "total_magnetization_mub_per_cell": 0.0, "dft_energy_ev_per_cell": -119.963}


{"formula": "PrDyGa", "functional": "PBE", "state": "relaxed", "cell": [[8.0249, 0.0000, 0.0000], [-4.0125, 6.9498, 0.0000], [0.0000, 0.0000, 4.5066]], "species": ["Pr", "Pr", "Pr", "Dy", "Dy", "Dy", "Ga", "Ga", "Ga"], "fractional_positions": [[0.0000, 0.6011, 0.0000], [0.3989, 0.3989, 0.0000], [0.6011, 0.0000, 0.0000], [0.0000, 0.2665, 0.5000], [0.2665, 0.0000, 0.5000], [0.7335, 0.7335, 0.5000], [0.0000, 0.0000, 0.0000], [0.3333, 0.6667, 0.5000], [0.6667, 0.3333, 0.5000]], "total_magnetization_mub_per_cell": 0.8, "polymorph_energy_kj_per_mol_atoms": 0.00}


{"formula": "Y2ErPb2", "functional": "PBE", "state": "relaxed", "cell": [[2.5037, -9.1294, 0.0000], [2.5037, 9.1294, 0.0000], [0.0000, 0.0000, 6.5449]], "species": ["Y", "Y", "Y", "Y", "Er", "Er", "Pb", "Pb", "Pb", "Pb"], "fractional_positions": [[0.9996, 0.0004, 0.0000], [0.0004, 0.9996, 0.5000], [0.1896, 0.8104, 0.7520], [0.8104, 0.1896, 0.2520], [0.3943, 0.6057, 0.7491], [0.6057, 0.3943, 0.2491], [0.1960, 0.8040, 0.2523], [0.4246, 0.5754, 0.2500], [0.5754, 0.4246, 0.7500], [0.8040, 0.1960, 0.7523]], "total_magnetization_mub_per_cell": 0.0, "dft_energy_ev_per_cell": -54.430}


{"formula": "BaCoPPd", "functional": "PBE", "state": "relaxed", "cell": [[3.8583, 0.0000, 0.0000], [0.0000, 3.8583, 0.0000], [0.0000, 0.0000, 11.2784]], "species": ["Ba", "Ba", "Co", "Co", "P", "P", "Pd", "Pd"], "fractional_positions": [[0.2500, 0.2500, 0.2330], [0.7500, 0.7500, 0.7670], [0.2500, 0.7500, 0.5000], [0.7500, 0.2500, 0.5000], [0.2500, 0.2500, 0.5990], [0.7500, 0.7500, 0.4010], [0.2500, 0.7500, 0.0000], [0.7500, 0.2500, 0.0000]], "total_magnetization_mub_per_cell": 1.1, "dft_energy_ev_per_cell": -44.288}


{"formula": "Li3CrCu", "functional": "PBE", "state": "relaxed", "cell": [[4.8268, 0.0000, 0.0000], [0.0000, 4.8268, 0.0000], [0.0000, 0.0000, 4.8268]], "species": ["Li", "Li", "Li", "Cr", "Cu"], "fractional_positions": [[0.0000, 0.0000, 0.5000], [0.0000, 0.5000, 0.0000], [0.5000, 0.0000, 0.0000], [0.0000, 0.0000, 0.0000], [0.5000, 0.5000, 0.5000]], "total_magnetization_mub_per_cell": 4.8, "polymorph_energy_kj_per_mol_atoms": 0.00}


{"formula": "TiZnTcAu", "functional": "PBE", "state": "relaxed", "cell": [[3.2295, 0.0000, 0.0000], [0.0000, 3.2295, 0.0000], [0.0000, 0.0000, 5.9842]], "species": ["Ti", "Zn", "Tc", "Au"], "fractional_positions": [[0.0000, 0.0000, 0.0000], [0.0000, 0.0000, 0.4579], [0.5000, 0.5000, 0.2154], [0.5000, 0.5000, 0.7125]], "total_magnetization_mub_per_cell": 0.0, "polymorph_energy_kj_per_mol_atoms": 0.00}


{"formula": "Ta2Ti4Mo", "functional": "PBE", "state": "relaxed", "cell": [[2.8751, 0.0000, 0.0000], [-0.9458, 6.9239, 0.0000], [-1.1121, -3.4178, 6.0557]], "species": ["Ta", "Ta", "Ti", "Ti", "Ti", "Ti", "Mo"], "fractional_positions": [[0.0506, 0.2806, 0.4266], [0.9494, 0.7194, 0.5734], [0.2829, 0.8560, 0.2735], [0.4024, 0.4095, 0.1380], [0.5976, 0.5905, 0.8620], [0.7171, 0.1440, 0.7265], [0.5000, 0.0000, 0.0000]], "total_magnetization_mub_per_cell": 0.0, "polymorph_energy_kj_per_mol_atoms": 0.00}


{"formula": "CsInHgI6", "functional": "PBE", "state": "relaxed", "cell": [[3.8803, -6.7516, 0.0000], [3.8803, 6.7516, 0.0000], [-0.0334, 0.0000, 8.7359]], "species": ["Cs", "In", "Hg", "I", "I", "I", "I", "I", "I"], "fractional_positions": [[0.0000, 0.0000, 0.0000], [0.3336, 0.6664, 0.5000], [0.6660, 0.3340, 0.5000], [0.0093, 0.3745, 0.3005], [0.0097, 0.6355, 0.6985], [0.3636, 0.3742, 0.6986], [0.3645, 0.9903, 0.3015], [0.6255, 0.9907, 0.6995], [0.6258, 0.6364, 0.3014]], "formation_energy_uncorrected_ev_per_fu": -5.6, "total_magnetization_mub_per_cell": 0.0}


Question: Number 3 is which compound?
Answer: Y2ErPb2